La2PrSb3 | PBE-GGA | optimized geometry Values from VASP.

```
&SYSTEM
  ibrav = 0, nat = 6, ntyp = 3
/
ATOMIC_SPECIES
La 138.91 La.upf
Pr 140.91 Pr.upf
Sb 121.76 Sb.upf
ATOMIC_POSITIONS crystal
La 0.6669 0.1669 0.3338
La 0.3331 0.8331 0.6662
Pr 0.0000 0.5000 0.0000
Sb 0.3347 0.3347 0.6694
Sb 0.0000 0.0000 0.0000
Sb 0.6653 0.6653 0.3306
CELL_PARAMETERS angstrom
-0.4760 1.2354 -4.4153
-0.3485 -6.2684 -1.7163
-6.4429 2.6825 3.8513
```

Properties
- Formation energy without anion corrections: -1.25 eV/atom
- Total magnetization: 0.00 μB per atom
- Electronic total energy: -5.749 eV/atom
- DOS(E_F): 0.86 states/eV/f.u.
- Mass density: 6.3 g/cm³